# 1
An optimized crystal structure of TiZnIn. Source: the Alexandria database, functional PBE.

**Final energy**: -0.2947 Ry/atom

Cell: 3.2319 5.9307 6.2795 Å, 75.57 75.03 74.17°
With the nearest neighbours (Å) after each atom.
Positions (direct):
Ti1 0.6840 0.3081 0.2012  4 Zn 2.74-3.01, 2 Ti 2.92, 2 In 3.02
Ti2 0.4518 0.0334 0.9405  4 Zn 2.74-3.01, 2 Ti 2.92, 2 In 3.02
Zn1 0.9461 0.7436 0.2414  1 Zn 2.37
Zn2 0.1899 0.5979 0.9003  1 Zn 2.37
In1 0.9253 0.4013 0.6261  3 Zn 2.71-2.74, 1 In 2.84, 2 Ti 3.02
In2 0.2105 0.9401 0.5156  3 Zn 2.71-2.74, 1 In 2.84, 2 Ti 3.02

---

# 2
An optimized crystal structure of TiZn4In. Source: the Alexandria database, functional PBE.

**Final energy**: -0.1872 Ry/atom

Cell: 5.2212 5.2212 5.2212 Å, 60.00 60.00 60.00°
With the nearest neighbours (Å) after each atom.
Positions (direct):
Zn1 0.6237 0.6237 0.1289  6 Zn 2.58-2.64
Zn2 0.6237 0.1289 0.6237  6 Zn 2.58-2.64
Zn3 0.6237 0.6237 0.6237  6 Zn 2.58-2.64
Zn4 0.1289 0.6237 0.6237  6 Zn 2.58-2.64
Ti1 0.2500 0.2500 0.2500  12 Zn 3.06, 4 In 3.20
In1 0.0000 0.0000 0.0000  12 Zn 3.06, 4 Ti 3.20

---

# 3
An optimized crystal structure of TiZnIn. Source: the Alexandria database, functional PBE.

**Final energy**: -0.2949 Ry/atom

Cell: 4.0364 4.0364 6.9968 Å, 89.70 90.30 89.99°
With the nearest neighbours (Å) after each atom.
Positions (direct):
Ti1 0.7501 0.7501 0.0000  4 Zn 2.79, 4 Ti 2.85-2.86, 4 In 3.06
Ti2 0.2499 0.2499 0.0000  4 Zn 2.79, 4 Ti 2.85-2.86, 4 In 3.06
Zn1 0.7522 0.2478 0.2751  5 In 2.77-2.88, 4 Ti 2.79
Zn2 0.2478 0.7522 0.7249  5 In 2.77-2.88, 4 Ti 2.79
In1 0.2530 0.7470 0.3291  5 Zn 2.77-2.88, 4 Ti 3.06
In2 0.7470 0.2530 0.6709  5 Zn 2.77-2.88, 4 Ti 3.06

---

# 4
An optimized crystal structure of Ti2Zn3In. Source: the Alexandria database, functional PBE.

**Final energy**: -0.2757 Ry/atom

Cell: 2.9206 2.8358 12.8302 Å, 96.34 96.54 90.00°
With the nearest neighbours (Å) after each atom.
Positions (direct):
Ti1 0.1304 0.1304 0.2609  8 Zn 2.78-2.82, 4 Ti 2.84-2.92
Ti2 0.8659 0.3659 0.7318  4 Zn 2.78, 4 Ti 2.84-2.92, 4 In 3.02
Zn1 0.7052 0.7052 0.4104  6 Zn 2.62-2.92, 4 Ti 2.78
Zn2 0.5532 0.5532 0.1064  4 Ti 2.82, 4 Zn 2.84-2.92, 2 In 2.89
Zn3 0.2912 0.7912 0.5825  6 Zn 2.62-2.92, 4 Ti 2.78
In1 0.4540 0.9540 0.9081  4 In 2.84-2.92, 2 Zn 2.89, 4 Ti 3.02

---

# 5
An optimized crystal structure of Ti2ZnIn. Source: the Alexandria database, functional PBE.

**Final energy**: -0.3471 Ry/atom

Cell: 7.4092 7.4092 5.9130 Å, 51.21 51.21 90.00°
With the nearest neighbours (Å) after each atom.
Positions (direct):
Zn1 0.5000 0.5000 0.0000  4 Ti 2.62, 2 In 2.74
Zn2 0.2500 0.7500 0.5000  4 Ti 2.62, 2 In 2.74
Ti1 0.6064 0.1250 0.2500  2 Zn 2.62, 2 Ti 2.76, 2 In 2.80
Ti2 0.1436 0.6250 0.2500  2 Zn 2.62, 2 Ti 2.76, 2 In 2.80
Ti3 0.3750 0.3936 0.7500  2 Zn 2.62, 2 Ti 2.76, 2 In 2.80
Ti4 0.8750 0.8564 0.7500  2 Zn 2.62, 2 Ti 2.76, 2 In 2.80
In1 0.0000 0.0000 0.0000  2 Zn 2.74, 4 Ti 2.80
In2 0.7500 0.2500 0.5000  2 Zn 2.74, 4 Ti 2.80

---

# 6
An optimized crystal structure of Ti3ZnIn2. Source: the Alexandria database, functional PBE.

**Energy above the most stable polymorph in this dataset**: 0 meV/atom

Cell: 2.9443 2.9443 12.4519 Å, 90.00 90.00 90.00°
With the nearest neighbours (Å) after each atom.
Positions (direct):
Ti1 0.0000 0.0000 0.0000  4 Ti 2.94, 8 In 3.02
Ti2 0.0000 0.0000 0.6471  4 Zn 2.77, 4 Ti 2.94, 4 In 3.04
Ti3 0.0000 0.0000 0.3529  4 Zn 2.77, 4 Ti 2.94, 4 In 3.04
Zn1 0.5000 0.5000 0.5000  8 Ti 2.77, 4 Zn 2.94
In1 0.5000 0.5000 0.8245  4 In 2.94, 8 Ti 3.02-3.04
In2 0.5000 0.5000 0.1755  4 In 2.94, 8 Ti 3.02-3.04

---

> Number 4 is which compound?

Ti2Zn3In